Compound: Sc6BiP2
Source: the Alexandria database
Functional: GGA-PBE
Structure: optimized geometry

Output
Energy of formation ... -0.767 eV/atom
Crystal system ... orthorhombic
Fermi-level density of states ... 39.88 states/eV/cell

a b c (Å): 8.5092 8.7081 10.1081
angles (deg): 90.00 90.00 90.00
Closest atoms and distances in Å follow each position.
Space group Immm (No. 71)
Inequivalent atoms, fractional coordinates:
Sc: 0.0000 0.2126 0.2419 [8 per cell]  2 P 2.74-2.79, 1 Bi 3.07
Sc: 0.1977 0.5000 0.1713 [8 per cell]  3 P 2.57-2.73
Sc: 0.2051 0.3137 0.5000 [8 per cell]  3 P 2.75-2.90, 1 Bi 2.99
Bi: 0.0000 0.0000 0.0000 [2 per cell]  8 Sc 2.99-3.07, 2 P 3.09
Bi: 0.0000 0.0000 0.5000 [2 per cell]  12 Sc 3.10-3.24
P: 0.0000 0.3543 0.0000 [4 per cell]  1 P 2.54, 6 Sc 2.73-2.74
P: 0.0000 0.5000 0.3636 [4 per cell]  8 Sc 2.57-2.79, 1 P 2.76


Compound: ScBiP3
Source: the Alexandria database
Functional: GGA-PBE
Structure: optimized geometry

Output
Energy of formation ... 0.357 eV/atom
Distance to the lowest polymorph of the same formula ... 0 meV/atom
Crystal system ... cubic
Fermi-level density of states ... 3.66 states/eV/cell

a b c (Å): 4.9372 4.9372 4.9372
angles (deg): 90.00 90.00 90.00
Closest atoms and distances in Å follow each position.
Space group Pm-3m (No. 221)
Inequivalent atoms, fractional coordinates:
Sc: 0.0000 0.0000 0.0000 [1 per cell]  6 P 2.47
Bi: 0.5000 0.5000 0.5000 [1 per cell]  12 P 3.49
P: 0.0000 0.0000 0.5000 [3 per cell]  2 Sc 2.47


Compound: ScBi2PSe
Source: the Alexandria database
Functional: GGA-PBE
Structure: optimized geometry

Output
Energy relative to the elements, uncorrected ... 297 meV per atom
Crystal system ... tetragonal
Fermi-level density of states ... 4.56 states/eV/cell

a b c (Å): 5.3899 5.3899 4.8490
angles (deg): 90.00 90.00 90.00
Closest atoms and distances in Å follow each position.
Space group P4/mmm (No. 123)
Inequivalent atoms, fractional coordinates:
Sc: 0.0000 0.0000 0.0000 [1 per cell]  8 Bi 3.63, 4 Se 3.81
Bi: 0.0000 0.5000 0.5000 [2 per cell]  2 P 2.69
P: 0.5000 0.5000 0.5000 [1 per cell]  2 Se 2.42, 4 Bi 2.69
Se: 0.5000 0.5000 0.0000 [1 per cell]  2 P 2.42


Compound: Sc4BiPSe2
Source: the Alexandria database
Functional: GGA-PBE
Structure: optimized geometry

Output
Energy relative to the elements, uncorrected ... -1322 meV per atom
Crystal system ... monoclinic
Fermi-level density of states ... 3.97 states/eV/cell

a b c (Å): 6.7974 3.9147 6.9444
angles (deg): 90.00 109.25 90.00
Closest atoms and distances in Å follow each position.
Space group P2/m (No. 10)
Inequivalent atoms, fractional coordinates:
Sc: 0.2373 0.0000 0.2231 [2 per cell]  2 P 2.68, 3 Se 2.72-2.91, 1 Bi 2.89
Sc: 0.2534 0.5000 0.7802 [2 per cell]  1 P 2.65, 3 Se 2.70-2.96, 2 Bi 2.89
Bi: 0.0000 0.0000 0.5000 [1 per cell]  6 Sc 2.89
P: 0.0000 0.5000 0.0000 [1 per cell]  6 Sc 2.65-2.68
Se: 0.5000 0.0000 0.0000 [1 per cell]  6 Sc 2.70-2.72
Se: 0.5000 0.5000 0.5000 [1 per cell]  6 Sc 2.91-2.96